Record 1
A plane-wave DFT calculation with PBE-GGA was carried out for a relaxed structure of Ba2DyCu2HgO7.

a = 3.8727 Å, b = 3.8727 Å, c = 12.7748 Å
α = 90.00°, β = 90.00°, γ = 90.00°
Closest atoms and distances in Å follow each position.
Space group P4/mmm (No. 123)
Inequivalent atoms, fractional coordinates:
Ba: 0.0000 0.0000 0.2021 (multiplicity 2)  5 O 2.58-2.78
Dy: 0.0000 0.0000 0.5000 (multiplicity 1)  8 O 2.41
Cu: 0.5000 0.5000 0.3688 (multiplicity 2)  4 O 1.95
Hg: 0.5000 0.5000 0.0000 (multiplicity 1)  2 O 2.13
O: 0.0000 0.0000 0.0000 (multiplicity 1)  2 Ba 2.58, 4 Hg 2.74
O: 0.0000 0.5000 0.3882 (multiplicity 4)  2 Cu 1.95
O: 0.5000 0.5000 0.1663 (multiplicity 2)  1 Hg 2.13

Size of the total moment (μB per atom): 0.05
Raw total energy (eV per cell): -74.02
Raw formation energy (eV/atom): -1.7212
N(E_F) (states/eV/f.u.): 3.8

---

Record 2
A plane-wave DFT calculation with PBE-GGA was carried out for a relaxed structure of BaDy2CuO5.

a = 6.5451 Å, b = 6.5451 Å, c = 11.6138 Å
α = 90.00°, β = 90.00°, γ = 90.00°
Closest atoms and distances in Å follow each position.
Space group I4/mcm (No. 140)
Inequivalent atoms, fractional coordinates:
Ba: 0.0000 0.0000 0.2500 (multiplicity 4)  10 O 2.90-2.92
Dy: 0.1728 0.3272 0.0000 (multiplicity 8)  4 O 2.24-2.42
Cu: 0.0000 0.5000 0.2500 (multiplicity 4)  4 O 1.96
O: 0.0000 0.0000 0.0000 (multiplicity 4)  4 Dy 2.42
O: 0.1417 0.3583 0.3760 (multiplicity 16)  1 Cu 1.96

Size of the total moment (μB per atom): 0.11
Raw total energy (eV per cell): -254.48
Raw formation energy (eV/atom): -2.6228
N(E_F) (states/eV/f.u.): 5.5
Energy above the most stable polymorph in this dataset (eV per atom): 0.0716

---

Record 3
A plane-wave DFT calculation with PBE-GGA was carried out for a relaxed structure of BaDy2CuO5.

a = 12.2604 Å, b = 5.7062 Å, c = 7.2364 Å
α = 90.00°, β = 90.00°, γ = 90.00°
Closest atoms and distances in Å follow each position.
Space group Pnma (No. 62)
Inequivalent atoms, fractional coordinates:
Ba: 0.0958 0.2500 0.0679 (multiplicity 4)  3 O 2.64-2.86
Dy: 0.0739 0.7500 0.3962 (multiplicity 4)  7 O 2.28-2.40
Dy: 0.2130 0.2500 0.6124 (multiplicity 4)  7 O 2.31-2.39
Cu: 0.1606 0.7500 0.7811 (multiplicity 4)  4 O 2.00-2.03
O: 0.0681 0.5057 0.6612 (multiplicity 8)  1 Cu 2.00
O: 0.0996 0.7500 0.0838 (multiplicity 4)  2 Dy 2.28-2.31, 1 Cu 2.31
O: 0.2281 0.0036 0.3547 (multiplicity 8)  1 Cu 2.03

Size of the total moment (μB per atom): 0.11
Raw total energy (eV per cell): -257.05
Raw formation energy (eV/atom): -2.6943
N(E_F) (states/eV/f.u.): 0.3
Energy above the most stable polymorph in this dataset (eV per atom): 0.0000

---

Record 4
A plane-wave DFT calculation with PBE-GGA was carried out for a relaxed structure of Ba2DyCu4O8.

a = 3.8947 Å, b = 27.5671 Å, c = 3.8774 Å
α = 90.00°, β = 90.00°, γ = 90.00°
Closest atoms and distances in Å follow each position.
Space group Cmmm (No. 65)
Inequivalent atoms, fractional coordinates:
Ba: 0.0000 0.1362 0.0000 (multiplicity 4)  10 O 2.76-3.03
Dy: 0.0000 0.0000 0.0000 (multiplicity 2)  8 O 2.41-2.42
Cu: 0.0000 0.2868 0.5000 (multiplicity 4)  4 O 1.85-1.95
Cu: 0.0000 0.4382 0.5000 (multiplicity 4)  4 O 1.96-1.97
O: 0.0000 0.0519 0.5000 (multiplicity 4)  2 Cu 1.97
O: 0.0000 0.2182 0.5000 (multiplicity 4)  3 Cu 1.89-1.95
O: 0.0000 0.3540 0.5000 (multiplicity 4)  1 Cu 1.85
O: 0.0000 0.4481 0.0000 (multiplicity 4)  2 Cu 1.96

Size of the total moment (μB per atom): 0.00
Raw total energy (eV per cell): -179.41
Raw formation energy (eV/atom): -1.6803
N(E_F) (states/eV/f.u.): 2.8

---

Record 5
A plane-wave DFT calculation with PBE-GGA was carried out for a relaxed structure of Ba2DyCu3O7.

a = 3.8402 Å, b = 3.9180 Å, c = 11.8350 Å
α = 90.00°, β = 90.00°, γ = 90.00°
Closest atoms and distances in Å follow each position.
Space group Pmmm (No. 47)
Inequivalent atoms, fractional coordinates:
Ba: 0.0000 0.0000 0.1808 (multiplicity 2)  10 O 2.76-3.07
Dy: 0.0000 0.0000 0.5000 (multiplicity 1)  8 O 2.40-2.42
Cu: 0.5000 0.5000 0.0000 (multiplicity 1)  4 O 1.88-1.96
Cu: 0.5000 0.5000 0.3534 (multiplicity 2)  4 O 1.95-1.98
O: 0.0000 0.5000 0.3803 (multiplicity 2)  2 Cu 1.95
O: 0.5000 0.0000 0.0000 (multiplicity 1)  2 Cu 1.96
O: 0.5000 0.0000 0.3790 (multiplicity 2)  2 Cu 1.98
O: 0.5000 0.5000 0.1588 (multiplicity 2)  1 Cu 1.88

Size of the total moment (μB per atom): 0.00
Raw total energy (eV per cell): -78.98
Raw formation energy (eV/atom): -1.8108
N(E_F) (states/eV/f.u.): 4.5

---

Record 6
A plane-wave DFT calculation with PBE-GGA was carried out for a relaxed structure of Ba2DyCu2O6.

a = 6.0440 Å, b = 6.0440 Å, c = 17.5284 Å
α = 90.00°, β = 90.00°, γ = 120.00°
Closest atoms and distances in Å follow each position.
Space group R-3m (No. 166, hexagonal axes)
Inequivalent atoms, fractional coordinates:
Ba: 0.0000 0.0000 0.2149 (multiplicity 6)  9 O 2.80-3.07
Dy: 0.0000 0.0000 0.0000 (multiplicity 3)  6 O 2.25
Cu: 0.0000 0.0000 0.4216 (multiplicity 6)  3 O 1.82
O: 0.0148 0.5074 0.7532 (multiplicity 18)  1 Cu 1.82

Size of the total moment (μB per atom): 0.28
Raw total energy (eV per cell): -202.47
Raw formation energy (eV/atom): -1.9182
N(E_F) (states/eV/f.u.): 2.8

---

Record 7
A plane-wave DFT calculation with PBE-GGA was carried out for a relaxed structure of Ba2DyCuO5.

a = 3.5976 Å, b = 15.2414 Å, c = 11.1850 Å
α = 90.00°, β = 90.00°, γ = 90.00°
Closest atoms and distances in Å follow each position.
Space group Cmc2_1 (No. 36)
Inequivalent atoms, fractional coordinates:
Ba: 0.0000 0.1154 0.0000 (multiplicity 4)  7 O 2.74-3.06
Ba: 0.0000 0.1301 0.6479 (multiplicity 4)  7 O 2.72-3.02
Dy: 0.0000 0.1987 0.3457 (multiplicity 4)  3 O 2.15-2.28
Cu: 0.0000 0.4492 0.7487 (multiplicity 4)  4 O 1.89-1.97
O: 0.0000 0.0401 0.3048 (multiplicity 4)  2 Cu 1.91
O: 0.0000 0.2994 0.9710 (multiplicity 4)  2 Dy 2.28
O: 0.0000 0.3237 0.7055 (multiplicity 4)  1 Cu 1.97
O: 0.0000 0.3387 0.3255 (multiplicity 4)  1 Dy 2.15
O: 0.0000 0.4978 0.0959 (multiplicity 4)  1 Cu 1.89

Size of the total moment (μB per atom): 0.22
Raw total energy (eV per cell): -228.93
Raw formation energy (eV/atom): -2.2110
N(E_F) (states/eV/f.u.): 1.2

---

Record 8
A plane-wave DFT calculation with PBE-GGA was carried out for a relaxed structure of Ba2DyCu2S4.

a = 14.7795 Å, b = 3.9788 Å, c = 7.3533 Å
α = 90.00°, β = 110.09°, γ = 90.00°
Closest atoms and distances in Å follow each position.
Space group C2/m (No. 12)
Inequivalent atoms, fractional coordinates:
Ba: 0.1351 0.0000 0.0655 (multiplicity 4)  7 S 3.20-3.35, 3 Cu 3.46-3.58
Dy: 0.0000 0.0000 0.5000 (multiplicity 2)  6 S 2.77-2.79
Cu: 0.1790 0.5000 0.4924 (multiplicity 4)  4 S 2.37-2.53
S: 0.0224 0.5000 0.2568 (multiplicity 4)  1 Cu 2.37
S: 0.1998 0.0000 0.6813 (multiplicity 4)  3 Cu 2.38-2.53

Size of the total moment (μB per atom): 0.00
Raw total energy (eV per cell): -90.92
Raw formation energy (eV/atom): -1.3677
N(E_F) (states/eV/f.u.): 3.9